Below is crystalline AgSn2SeBr at its relaxed geometry, with properties calculated at the PBE-GGA level.

a = 5.7748 Å, b = 5.7748 Å, c = 4.9404 Å
α = 90.00°, β = 90.00°, γ = 90.00°
Closest atoms and distances in Å follow each position.
Positions (direct):
Ag (0.0000, 0.0000, 0.0000)  2 Se 2.47
Sn (0.0000, 0.5000, 0.5000)  2 Se 2.89
Sn (0.5000, 0.0000, 0.5000)  2 Se 2.89
Se (0.0000, 0.0000, 0.5000)  2 Ag 2.47
Br (0.5000, 0.5000, 0.0000)  8 Sn 3.80, 4 Ag 4.08

Computed properties:
The calculation puts the raw formation energy at 0.210 eV/atom. The value obtained for the total energy is -2.99 eV per atom. The space-group type is No. 123.